Here is an optimized crystal structure of GaSn3N from the Alexandria database. Energies are from PBE.

Results
Total moment   0.00 Bohr magnetons per cell
E   -3.21 eV/atom
Space group   Pm-3m
Formation energy (no corrections)   1.4579 eV/atom
Energy relative to the lowest polymorph listed for this composition   972 meV per atom

```
data_GaSn3N
_cell_length_a 5.2238
_cell_length_b 5.2238
_cell_length_c 5.2238
_cell_angle_alpha 90.00
_cell_angle_beta 90.00
_cell_angle_gamma 90.00
_space_group_name_H-M_alt 'P 1'
_space_group_IT_number 1
loop_
_space_group_symop_operation_xyz
'x,y,z'
loop_
_atom_site_label
_atom_site_type_symbol
_atom_site_fract_x
_atom_site_fract_y
_atom_site_fract_z
Sn1 Sn 0.0000 0.5000 0.0000
Sn2 Sn 0.0000 0.0000 0.5000
Sn3 Sn 0.5000 0.0000 0.0000
Ga1 Ga 0.0000 0.0000 0.0000
N1 N 0.5000 0.5000 0.5000
```

***

Here is an optimized crystal structure of AlAg3 from the Alexandria database. Energies are from PBE.

Results
Total moment   0.00 Bohr magnetons per cell
E   -3.11 eV/atom
Space group   Pmma
Energy of formation   -34.5 meV per atom

```
data_AlAg3
_cell_length_a 4.2186
_cell_length_b 8.2633
_cell_length_c 3.9842
_cell_angle_alpha 90.00
_cell_angle_beta 90.00
_cell_angle_gamma 90.00
_space_group_name_H-M_alt 'P 1'
_space_group_IT_number 1
loop_
_space_group_symop_operation_xyz
'x,y,z'
loop_
_atom_site_label
_atom_site_type_symbol
_atom_site_fract_x
_atom_site_fract_y
_atom_site_fract_z
Ag1 Ag 0.0000 0.9926 0.0000
Ag2 Ag 0.5000 0.2574 0.0000
Ag3 Ag 0.0000 0.5106 0.0000
Ag4 Ag 0.5000 0.7394 0.0000
Ag5 Ag 0.5000 0.9943 0.5000
Ag6 Ag 0.0000 0.2557 0.5000
Al1 Al 0.5000 0.4932 0.5000
Al2 Al 0.0000 0.7568 0.5000
```

***

Here is an optimized crystal structure of Tb8Si3Te3P from the Alexandria database. Energies are from PBE.

Results
Total moment   1.03 Bohr magnetons per cell
E   -5.61 eV/atom
Space group   R-3m
Formation energy (no corrections)   -1.0627 eV/atom

```
data_Tb8Si3Te3P
_cell_length_a 8.3678
_cell_length_b 8.3686
_cell_length_c 8.5680
_cell_angle_alpha 119.24
_cell_angle_beta 90.00
_cell_angle_gamma 120.00
_space_group_name_H-M_alt 'P 1'
_space_group_IT_number 1
loop_
_space_group_symop_operation_xyz
'x,y,z'
loop_
_atom_site_label
_atom_site_type_symbol
_atom_site_fract_x
_atom_site_fract_y
_atom_site_fract_z
Tb1 Tb 0.2598 0.5199 0.2803
Tb2 Tb 0.7402 0.4801 0.7197
Tb3 Tb 0.7634 0.5265 0.2854
Tb4 Tb 0.2366 0.4735 0.7146
Tb5 Tb 0.7635 0.0222 0.2851
Tb6 Tb 0.2365 0.9778 0.7149
Tb7 Tb 0.2585 0.0218 0.2849
Tb8 Tb 0.7415 0.9782 0.7151
Si1 Si 0.5000 0.0000 0.5000
Si2 Si 0.5000 0.5000 0.5000
Si3 Si 0.0000 0.5000 0.5000
Te1 Te 0.0000 0.0000 0.0000
Te2 Te 0.0000 0.5000 0.0000
Te3 Te 0.5000 0.5000 0.0000
P1 P 0.0000 0.0000 0.5000
```

***

Here is an optimized crystal structure of Cs7SbH2Br2 from the Alexandria database. Energies are from PBE.

Results
Total moment   0.00 Bohr magnetons per cell
E   -2.42 eV/atom
Space group   Imm2

```
data_Cs7SbH2Br2
_cell_length_a 6.6888
_cell_length_b 6.9371
_cell_length_c 13.7926
_cell_angle_alpha 104.57
_cell_angle_beta 104.03
_cell_angle_gamma 90.00
_space_group_name_H-M_alt 'P 1'
_space_group_IT_number 1
loop_
_space_group_symop_operation_xyz
'x,y,z'
loop_
_atom_site_label
_atom_site_type_symbol
_atom_site_fract_x
_atom_site_fract_y
_atom_site_fract_z
Cs1 Cs 0.4061 0.8806 0.8121
Cs2 Cs 0.7228 0.7167 0.4455
Cs3 Cs 0.0940 0.6172 0.1880
Cs4 Cs 0.5939 0.0684 0.1879
Cs5 Cs 0.2772 0.2712 0.5545
Cs6 Cs 0.9060 0.4293 0.8120
Cs7 Cs 0.5000 0.4261 0.0000
Sb1 Sb 0.0000 0.0409 0.0000
H1 H 0.3900 0.4200 0.7799
H2 H 0.6100 0.6400 0.2201
Br1 Br 0.2588 0.7534 0.5176
Br2 Br 0.7412 0.2358 0.4824
```

***

Here is an optimized crystal structure of P2SNCl from the Alexandria database. Energies are from PBE.

Results
Total moment   0.00 Bohr magnetons per cell
E   -2.99 eV/atom
Space group   P4/mmm
Formation energy (no corrections)   2.0369 eV/atom
Energy relative to the lowest polymorph listed for this composition   748 meV per atom

```
data_P2SNCl
_cell_length_a 4.6282
_cell_length_b 4.6282
_cell_length_c 4.4198
_cell_angle_alpha 90.00
_cell_angle_beta 90.00
_cell_angle_gamma 90.00
_space_group_name_H-M_alt 'P 1'
_space_group_IT_number 1
loop_
_space_group_symop_operation_xyz
'x,y,z'
loop_
_atom_site_label
_atom_site_type_symbol
_atom_site_fract_x
_atom_site_fract_y
_atom_site_fract_z
P1 P 0.0000 0.5000 0.0000
P2 P 0.5000 0.0000 0.0000
S1 S 0.0000 0.0000 0.0000
N1 N 0.5000 0.5000 0.5000
Cl1 Cl 0.0000 0.0000 0.5000
```

***

Here is an optimized crystal structure of K2RbAgHg from the Alexandria database. Energies are from PBE.

Results
Total moment   0.00 Bohr magnetons per cell
E   -1.27 eV/atom
Space group   P4/mmm
Energy relative to the lowest polymorph listed for this composition   0 meV per atom
Energy of formation   -9.1 meV per atom

```
data_K2RbAgHg
_cell_length_a 6.5607
_cell_length_b 6.5607
_cell_length_c 5.5849
_cell_angle_alpha 90.00
_cell_angle_beta 90.00
_cell_angle_gamma 90.00
_space_group_name_H-M_alt 'P 1'
_space_group_IT_number 1
loop_
_space_group_symop_operation_xyz
'x,y,z'
loop_
_atom_site_label
_atom_site_type_symbol
_atom_site_fract_x
_atom_site_fract_y
_atom_site_fract_z
K1 K 0.0000 0.5000 0.0000
K2 K 0.5000 0.0000 0.0000
Rb1 Rb 0.5000 0.5000 0.5000
Hg1 Hg 0.0000 0.0000 0.5000
Ag1 Ag 0.0000 0.0000 0.0000
```

***

Here is an optimized crystal structure of Sc2Ni3 from the Alexandria database. Energies are from PBE.

Results
Total moment   0.00 Bohr magnetons per cell
E   -6.47 eV/atom
Space group   Fdd2
Energy of formation   -465.1 meV per atom

```
data_Sc2Ni3
_cell_length_a 5.0387
_cell_length_b 5.0387
_cell_length_c 7.3164
_cell_angle_alpha 99.95
_cell_angle_beta 99.95
_cell_angle_gamma 119.88
_space_group_name_H-M_alt 'P 1'
_space_group_IT_number 1
loop_
_space_group_symop_operation_xyz
'x,y,z'
loop_
_atom_site_label
_atom_site_type_symbol
_atom_site_fract_x
_atom_site_fract_y
_atom_site_fract_z
Ni1 Ni 0.4478 0.5803 0.7547
Ni2 Ni 0.8256 0.6931 0.2453
Ni3 Ni 0.9431 0.5756 0.7453
Ni4 Ni 0.8303 0.1978 0.2547
Ni5 Ni 0.9560 0.9560 0.0000
Ni6 Ni 0.2060 0.7060 0.5000
Sc1 Sc 0.5082 0.1640 0.9016
Sc2 Sc 0.2624 0.6066 0.0984
Sc3 Sc 0.8566 0.0124 0.5984
Sc4 Sc 0.4140 0.2582 0.4016
```

***

Here is an optimized crystal structure of SrMgSn2Rh2 from the Alexandria database. Energies are from PBE.

Results
Total moment   0.00 Bohr magnetons per cell
E   -4.66 eV/atom
Space group   P4/mmm
Energy of formation   -330.6 meV per atom

```
data_SrMgSn2Rh2
_cell_length_a 4.7595
_cell_length_b 4.7595
_cell_length_c 6.1274
_cell_angle_alpha 90.00
_cell_angle_beta 90.00
_cell_angle_gamma 90.00
_space_group_name_H-M_alt 'P 1'
_space_group_IT_number 1
loop_
_space_group_symop_operation_xyz
'x,y,z'
loop_
_atom_site_label
_atom_site_type_symbol
_atom_site_fract_x
_atom_site_fract_y
_atom_site_fract_z
Sr1 Sr 0.0000 0.0000 0.5000
Mg1 Mg 0.0000 0.0000 0.0000
Sn1 Sn 0.5000 0.5000 0.7512
Sn2 Sn 0.5000 0.5000 0.2488
Rh1 Rh 0.5000 0.0000 0.0000
Rh2 Rh 0.0000 0.5000 0.0000
```

***

Here is an optimized crystal structure of PrSmDyTl from the Alexandria database. Energies are from PBE.

Results
Total moment   1.27 Bohr magnetons per cell
E   -4.18 eV/atom
Space group   F-43m
Energy relative to the lowest polymorph listed for this composition   131 meV per atom
Energy of formation   -61.3 meV per atom

```
data_PrSmDyTl
_cell_length_a 5.5829
_cell_length_b 5.5829
_cell_length_c 5.5829
_cell_angle_alpha 60.00
_cell_angle_beta 60.00
_cell_angle_gamma 60.00
_space_group_name_H-M_alt 'P 1'
_space_group_IT_number 1
loop_
_space_group_symop_operation_xyz
'x,y,z'
loop_
_atom_site_label
_atom_site_type_symbol
_atom_site_fract_x
_atom_site_fract_y
_atom_site_fract_z
Pr1 Pr 0.2500 0.2500 0.2500
Tl1 Tl 0.0000 0.0000 0.0000
Sm1 Sm 0.7500 0.7500 0.7500
Dy1 Dy 0.5000 0.5000 0.5000
```

***

Here is an optimized crystal structure of LiSm2Bi from the Alexandria database. Energies are from PBE.

Results
Total moment   0.00 Bohr magnetons per cell
E   -3.72 eV/atom
Space group   R-3m
Energy relative to the lowest polymorph listed for this composition   515 meV per atom
Energy of formation   92.0 meV per atom

```
data_LiSm2Bi
_cell_length_a 3.5099
_cell_length_b 3.5099
_cell_length_c 11.9432
_cell_angle_alpha 81.55
_cell_angle_beta 81.55
_cell_angle_gamma 60.00
_space_group_name_H-M_alt 'P 1'
_space_group_IT_number 1
loop_
_space_group_symop_operation_xyz
'x,y,z'
loop_
_atom_site_label
_atom_site_type_symbol
_atom_site_fract_x
_atom_site_fract_y
_atom_site_fract_z
Bi1 Bi 0.0000 0.0000 0.0000
Sm1 Sm 0.0904 0.0904 0.7289
Sm2 Sm 0.9096 0.9096 0.2711
Li1 Li 0.5000 0.5000 0.5000
```

***

Here is an optimized crystal structure of La3CuSb from the Alexandria database. Energies are from PBE.

Results
Total moment   0.00 Bohr magnetons per cell
E   -4.85 eV/atom
Space group   Pm-3m
Formation energy (no corrections)   -0.2503 eV/atom
Energy relative to the lowest polymorph listed for this composition   0 meV per atom

```
data_La3CuSb
_cell_length_a 5.5108
_cell_length_b 5.5108
_cell_length_c 5.5108
_cell_angle_alpha 90.00
_cell_angle_beta 90.00
_cell_angle_gamma 90.00
_space_group_name_H-M_alt 'P 1'
_space_group_IT_number 1
loop_
_space_group_symop_operation_xyz
'x,y,z'
loop_
_atom_site_label
_atom_site_type_symbol
_atom_site_fract_x
_atom_site_fract_y
_atom_site_fract_z
Sb1 Sb 0.5000 0.5000 0.5000
Cu1 Cu 0.0000 0.0000 0.0000
La1 La 0.0000 0.5000 0.0000
La2 La 0.0000 0.0000 0.5000
La3 La 0.5000 0.0000 0.0000
```

***

Here is an optimized crystal structure of TbSmSi4 from the Alexandria database. Energies are from PBE.

Results
Total moment   0.00 Bohr magnetons per cell
E   -5.48 eV/atom
Space group   F-43m
Formation energy (no corrections)   -0.3043 eV/atom
Energy relative to the lowest polymorph listed for this composition   265 meV per atom

```
data_TbSmSi4
_cell_length_a 5.3691
_cell_length_b 5.3691
_cell_length_c 5.3691
_cell_angle_alpha 60.00
_cell_angle_beta 60.00
_cell_angle_gamma 60.00
_space_group_name_H-M_alt 'P 1'
_space_group_IT_number 1
loop_
_space_group_symop_operation_xyz
'x,y,z'
loop_
_atom_site_label
_atom_site_type_symbol
_atom_site_fract_x
_atom_site_fract_y
_atom_site_fract_z
Si1 Si 0.6242 0.6242 0.1273
Si2 Si 0.6242 0.1273 0.6242
Si3 Si 0.6242 0.6242 0.6242
Si4 Si 0.1273 0.6242 0.6242
Tb1 Tb 0.2500 0.2500 0.2500
Sm1 Sm 0.0000 0.0000 0.0000
```